Entry 1:
! Rb4La3PuSe8, relaxed, DFT PBE; values from VASP
! **Energy relative to the elements, uncorrected**: -1.710 eV/atom
! **Total energy**: -88.23 eV/cell
&SYSTEM
  ibrav = 0, nat = 16, ntyp = 4
/
ATOMIC_SPECIES
Rb 85.47 Rb.upf
La 138.91 La.upf
Pu 244.00 Pu.upf
Se 78.96 Se.upf
ATOMIC_POSITIONS crystal
Rb 0.0000 0.0000 0.0000
Rb 0.0000 0.5000 0.5000
Rb 0.5000 0.0000 0.5000
Rb 0.5000 0.5000 0.0000
La 0.0000 0.0000 0.5000
La 0.0000 0.5000 0.0000
La 0.5000 0.0000 0.0000
Pu 0.5000 0.5000 0.5000
Se 0.2342 0.2342 0.2342
Se 0.2394 0.7296 0.7296
Se 0.2704 0.2704 0.7606
Se 0.2704 0.7606 0.2704
Se 0.7296 0.2394 0.7296
Se 0.7296 0.7296 0.2394
Se 0.7606 0.2704 0.2704
Se 0.7658 0.7658 0.7658
CELL_PARAMETERS angstrom
4.4491 2.5687 7.9741
-4.4491 2.5687 7.9741
0.0000 -5.1373 7.9741

***

Entry 2:
! Rb2LaPuTe4, relaxed, DFT PBE; values from VASP
! **Energy relative to the elements, uncorrected**: -1.285 eV/atom
! **Total energy**: -44.04 eV/cell
&SYSTEM
  ibrav = 0, nat = 8, ntyp = 4
/
ATOMIC_SPECIES
Rb 85.47 Rb.upf
La 138.91 La.upf
Pu 244.00 Pu.upf
Te 127.60 Te.upf
ATOMIC_POSITIONS crystal
Rb 0.0000 0.0000 0.0000
Rb 0.5000 0.5000 0.0000
La 0.0000 0.5000 0.5000
Pu 0.5000 0.0000 0.5000
Te 0.2406 0.0000 0.7052
Te 0.2738 0.5000 0.3001
Te 0.7262 0.5000 0.6999
Te 0.7594 0.0000 0.2948
CELL_PARAMETERS angstrom
8.1297 0.0000 0.0000
0.0000 4.6869 0.0000
-2.7147 0.0000 8.5064